Entry from Alexandria: a relaxed Cs2HgCl crystal (PBE-GGA).

Results
formation energy from raw total energies = -1.0724 eV per atom
energy relative to the lowest polymorph listed for this composition = 0 meV/atom
symmetry = Cmcm, No. 63

The structure in POSCAR format:
```
Cs2HgCl
1.0
-1.979 3.897 -2.819
-0.605 -3.169 -3.957
-13.396 -1.861 6.832
Cs Hg Cl
4 2 2
direct
0.750 0.691 0.382
0.250 0.309 0.618
0.750 0.926 0.852
0.250 0.074 0.148
0.250 0.473 0.946
0.750 0.527 0.054
0.250 0.193 0.386
0.750 0.807 0.614
```

***

Entry from Alexandria: a relaxed NaPr2S3 crystal (PBE-GGA).

Results
formation energy from raw total energies = -1.8582 eV per atom
symmetry = Immm, No. 71

The structure in POSCAR format:
```
NaPr2S3
1.0
-1.305 3.254 2.109
-3.388 -3.431 3.196
6.967 -0.691 1.409
Na Pr S
1 2 3
direct
0.500 0.500 0.500
0.837 0.837 0.173
0.163 0.163 0.827
0.831 0.331 0.162
0.169 0.669 0.838
0.500 0.000 0.500
```

***

Entry from Alexandria: a relaxed Tb2AlCu9 crystal (PBE-GGA).

Results
formation energy = -108 kJ/mol of formula units
symmetry = R-3m, No. 166

The structure in POSCAR format:
```
Tb2AlCu9
1.0
5.051 0.000 0.000
2.525 4.374 0.000
2.525 1.458 8.299
Tb Al Cu
2 1 9
direct
0.865 0.865 0.406
0.135 0.135 0.594
0.000 0.000 0.000
0.667 0.667 0.999
0.333 0.333 0.001
0.500 0.500 0.500
0.418 0.418 0.243
0.921 0.418 0.243
0.418 0.921 0.243
0.582 0.582 0.757
0.582 0.079 0.757
0.079 0.582 0.757
```

***

Entry from Alexandria: a relaxed NaGa4Bi crystal (PBE-GGA).

Results
formation energy = -22 kJ/mol of formula units
symmetry = F-43m, No. 216

The structure in POSCAR format:
```
NaGa4Bi
1.0
5.781 0.000 0.000
2.891 5.007 0.000
2.891 1.669 4.721
Na Bi Ga
1 1 4
direct
0.000 0.000 0.000
0.250 0.250 0.250
0.625 0.625 0.124
0.625 0.124 0.625
0.625 0.625 0.625
0.124 0.625 0.625
```

***

Entry from Alexandria: a relaxed LaHf2ScSe crystal (PBE-GGA).

Results
formation energy from raw total energies = 0.8496 eV per atom
symmetry = P4/mmm, No. 123

The structure in POSCAR format:
```
LaHf2ScSe
1.0
-1.662 -4.661 -0.282
5.543 -2.006 0.495
-0.486 -0.125 4.931
Sc Hf Se La
1 2 1 1
direct
0.000 0.000 0.000
0.000 0.000 0.500
0.500 0.000 0.000
0.500 0.500 0.500
0.000 0.500 0.000
```

***

Entry from Alexandria: a relaxed TePtN3 crystal (PBE-GGA).

Results
formation energy from raw total energies = 1.7619 eV per atom
symmetry = Pm-3m, No. 221

The structure in POSCAR format:
```
TePtN3
1.0
3.961 0.000 0.000
0.000 3.961 0.000
0.000 0.000 3.961
Te Pt N
1 1 3
direct
0.500 0.500 0.500
0.000 0.000 0.000
0.000 0.500 0.000
0.000 0.000 0.500
0.500 0.000 0.000
```

***

Entry from Alexandria: a relaxed P2PbCS crystal (PBE-GGA).

Results
formation energy from raw total energies = 1.0536 eV per atom
energy relative to the lowest polymorph listed for this composition = 0 meV/atom
symmetry = P4/mmm, No. 123

The structure in POSCAR format:
```
P2PbCS
1.0
-4.032 0.207 0.773
0.454 -2.675 3.087
0.824 3.897 3.255
Pb P S C
1 2 1 1
direct
0.500 0.500 0.500
0.000 0.500 0.000
0.500 0.000 0.000
0.000 0.000 0.500
0.000 0.000 0.000
```

***

Entry from Alexandria: a relaxed SrSbIr2 crystal (PBE-GGA).

Results
formation energy from raw total energies = 0.4466 eV per atom
symmetry = F-43m, No. 216

The structure in POSCAR format:
```
SrSbIr2
1.0
4.873 0.000 0.000
2.436 4.220 0.000
2.436 1.407 3.978
Ir Sb Sr
2 1 1
direct
0.000 0.000 0.000
0.250 0.250 0.250
0.500 0.500 0.500
0.750 0.750 0.750
```

***

Entry from Alexandria: a relaxed NbSeI2O crystal (PBE-GGA).

Results
formation energy from raw total energies = 0.5680 eV per atom
energy relative to the lowest polymorph listed for this composition = 957 meV/atom
symmetry = P4/mmm, No. 123

The structure in POSCAR format:
```
NbSeI2O
1.0
-5.217 -2.406 -0.686
2.453 -4.611 -2.488
0.321 -1.666 3.404
I Nb O Se
2 1 1 1
direct
0.000 0.500 0.000
0.500 0.000 0.000
0.500 0.500 0.500
0.000 0.000 0.500
0.000 0.000 0.000
```

***

Entry from Alexandria: a relaxed AcLa2Nd6Er crystal (PBE-GGA).

Results
formation energy = 110 kJ/mol of formula units
symmetry = C2/c, No. 15

The structure in POSCAR format:
```
AcLa2Nd6Er
1.0
-6.888 -2.291 -6.865
-1.135 -7.814 4.572
-4.523 7.373 2.903
Ac La Nd Er
2 4 12 2
direct
0.250 0.982 0.018
0.750 0.018 0.982
0.456 0.800 0.689
0.044 0.311 0.200
0.544 0.200 0.311
0.956 0.689 0.800
0.055 0.128 0.743
0.445 0.257 0.872
0.945 0.872 0.257
0.555 0.743 0.128
0.310 0.984 0.432
0.190 0.568 0.016
0.690 0.016 0.568
0.810 0.432 0.984
0.118 0.707 0.498
0.382 0.502 0.293
0.882 0.293 0.502
0.618 0.498 0.707
0.250 0.408 0.592
0.750 0.592 0.408
```

***

Entry from Alexandria: a relaxed Tb7Pm2Tm crystal (PBE-GGA).

Results
formation energy = 151 kJ/mol of formula units
energy relative to the lowest polymorph listed for this composition = 139 meV/atom
symmetry = Cmmm, No. 65

The structure in POSCAR format:
```
Tb7Pm2Tm
1.0
3.504 0.000 0.000
0.000 13.999 -4.779
0.000 -10.580 10.337
Tb Pm Tm
7 2 1
direct
0.000 0.814 0.186
0.000 0.186 0.814
0.500 0.148 0.343
0.500 0.852 0.657
0.500 0.343 0.148
0.500 0.657 0.852
0.500 0.500 0.500
0.500 0.707 0.293
0.500 0.293 0.707
0.000 0.000 0.000
```

***

Entry from Alexandria: a relaxed TmPuTl2O6 crystal (PBE-GGA).

Results
formation energy from raw total energies = -2.1688 eV per atom
symmetry = Fm-3m, No. 225

The structure in POSCAR format:
```
TmPuTl2O6
1.0
6.077 0.000 0.000
3.038 5.262 0.000
3.039 1.754 4.961
Tm Pu Tl O
1 1 2 6
direct
0.816 0.816 0.552
0.316 0.316 0.052
0.566 0.566 0.301
0.066 0.066 0.801
0.553 0.079 0.288
0.079 0.079 0.288
0.079 0.553 0.288
0.553 0.553 0.815
0.553 0.079 0.815
0.079 0.553 0.815
```

***

Entry from Alexandria: a relaxed Ba2NbGa crystal (PBE-GGA).

Results
formation energy = 307 kJ/mol of formula units
symmetry = I-42d, No. 122

The structure in POSCAR format:
```
Ba2NbGa
1.0
9.152 0.000 0.000
0.000 9.152 0.000
4.576 4.576 3.213
Nb Ba Ga
2 4 2
direct
0.000 0.000 0.000
0.750 0.250 0.500
0.620 0.125 0.250
0.130 0.625 0.250
0.375 0.380 0.750
0.875 0.870 0.750
0.500 0.500 0.000
0.250 0.750 0.500
```

***

Entry from Alexandria: a relaxed TbPuHgGe crystal (PBE-GGA).

Results
formation energy = -152 kJ/mol of formula units
symmetry = F-43m, No. 216

The structure in POSCAR format:
```
TbPuHgGe
1.0
5.194 0.000 0.000
2.597 4.498 0.000
2.597 1.499 4.241
Ge Tb Hg Pu
1 1 1 1
direct
0.250 0.250 0.250
0.500 0.500 0.500
0.750 0.750 0.750
0.000 0.000 0.000
```

***

Entry from Alexandria: a relaxed Tb2Pr2Cd crystal (PBE-GGA).

Results
formation energy = -20 kJ/mol of formula units
energy relative to the lowest polymorph listed for this composition = 73 meV/atom
symmetry = C2/m, No. 12

The structure in POSCAR format:
```
Tb2Pr2Cd
1.0
-4.124 -7.176 2.378
-0.194 -5.879 -2.485
3.741 -6.124 5.720
Tb Pr Cd
4 4 2
direct
0.670 0.370 0.721
0.330 0.630 0.279
0.040 0.630 0.721
0.960 0.370 0.279
0.734 0.000 0.429
0.597 0.000 0.119
0.403 0.000 0.881
0.266 0.000 0.571
0.159 0.683 0.000
0.841 0.317 0.000
```

***

Entry from Alexandria: a relaxed TaAs2Os crystal (PBE-GGA).

Results
formation energy = 78 kJ/mol of formula units
energy relative to the lowest polymorph listed for this composition = 311 meV/atom
symmetry = I-4m2, No. 119

The structure in POSCAR format:
```
TaAs2Os
1.0
4.868 -0.013 0.000
1.472 4.640 0.000
-3.170 -2.313 2.880
As Os Ta
2 1 1
direct
0.000 0.000 0.000
0.250 0.750 0.500
0.500 0.500 0.000
0.750 0.250 0.500
```

***

Entry from Alexandria: a relaxed PuIn4Pb15 crystal (PBE-GGA).

Results
formation energy = 88 kJ/mol of formula units
symmetry = P4/mmm, No. 123

The structure in POSCAR format:
```
PuIn4Pb15
1.0
5.936 0.000 0.000
0.000 5.936 0.000
0.000 0.000 17.394
Pu In Pb
1 4 15
direct
0.000 0.000 0.000
0.000 0.000 0.198
0.000 0.000 0.399
0.000 0.000 0.601
0.000 0.000 0.802
0.500 0.500 0.000
0.500 0.500 0.203
0.500 0.500 0.401
0.500 0.500 0.599
0.500 0.500 0.797
0.500 0.000 0.101
0.500 0.000 0.300
0.500 0.000 0.500
0.500 0.000 0.700
0.500 0.000 0.899
0.000 0.500 0.101
0.000 0.500 0.300
0.000 0.500 0.500
0.000 0.500 0.700
0.000 0.500 0.899
```

***

Entry from Alexandria: a relaxed TaNiIr crystal (PBE-GGA).

Results
formation energy = -135 kJ/mol of formula units
energy relative to the lowest polymorph listed for this composition = 18 meV/atom
symmetry = Cm, No. 8

The structure in POSCAR format:
```
TaNiIr
1.0
5.471 0.000 0.000
0.000 3.890 0.000
-2.409 0.000 8.176
Ni Ir Ta
4 4 4
direct
0.487 0.000 0.347
0.487 0.500 0.847
0.321 0.000 0.018
0.321 0.500 0.518
0.660 0.000 0.676
0.660 0.500 0.176
0.001 0.000 0.352
0.001 0.500 0.852
0.792 0.000 0.999
0.792 0.500 0.499
0.190 0.000 0.694
0.190 0.500 0.194
```

***

Entry from Alexandria: a relaxed Y5Tm3Sb8 crystal (PBE-GGA).

Results
formation energy from raw total energies = -1.1282 eV per atom
symmetry = R-3m, No. 166

The structure in POSCAR format:
```
Y5Tm3Sb8
1.0
7.587 0.000 4.346
2.549 7.146 4.346
0.030 0.021 8.743
Y Tm Sb
5 3 8
direct
0.500 0.000 0.000
0.500 0.500 0.000
0.000 0.000 0.000
0.000 0.500 0.000
0.500 0.500 0.500
0.500 0.000 0.500
0.000 0.000 0.500
0.000 0.500 0.500
0.250 0.250 0.747
0.250 0.753 0.747
0.753 0.250 0.747
0.751 0.751 0.746
0.750 0.750 0.253
0.750 0.247 0.253
0.247 0.750 0.253
0.249 0.249 0.254
```

***

Entry from Alexandria: a relaxed Sm3DyEr2Se6 crystal (PBE-GGA).

Results
formation energy from raw total energies = -1.7702 eV per atom
symmetry = C2/m, No. 12

The structure in POSCAR format:
```
Sm3DyEr2Se6
1.0
-2.241 6.372 2.139
-1.611 -2.367 -6.481
-4.394 -4.164 3.900
Sm Dy Er Se
3 1 2 6
direct
0.165 0.835 0.500
0.835 0.165 0.500
0.500 0.500 0.500
0.000 0.000 0.000
0.334 0.666 0.000
0.666 0.334 0.000
0.921 0.585 0.761
0.743 0.743 0.238
0.079 0.415 0.239
0.585 0.921 0.761
0.257 0.257 0.762
0.415 0.079 0.239
```

***

Entry from Alexandria: a relaxed PmMgCoGe crystal (PBE-GGA).

Results
formation energy = -56 kJ/mol of formula units
symmetry = F-43m, No. 216

The structure in POSCAR format:
```
PmMgCoGe
1.0
4.805 0.000 0.000
2.402 4.161 0.000
2.402 1.387 3.923
Ge Co Mg Pm
1 1 1 1
direct
0.250 0.250 0.250
0.750 0.750 0.750
0.500 0.500 0.500
0.000 0.000 0.000
```

***

Entry from Alexandria: a relaxed TeRu2Se crystal (PBE-GGA).

Results
formation energy from raw total energies = 0.8113 eV per atom
energy relative to the lowest polymorph listed for this composition = 744 meV/atom
symmetry = F-43m, No. 216

The structure in POSCAR format:
```
TeRu2Se
1.0
4.636 0.000 0.000
2.318 4.015 0.000
2.318 1.338 3.785
Ru Se Te
2 1 1
direct
0.000 0.000 0.000
0.250 0.250 0.250
0.500 0.500 0.500
0.750 0.750 0.750
```

***

Entry from Alexandria: a relaxed KZrBe2 crystal (PBE-GGA).

Results
formation energy = 405 kJ/mol of formula units
energy relative to the lowest polymorph listed for this composition = 591 meV/atom
symmetry = Fm-3m, No. 225

The structure in POSCAR format:
```
KZrBe2
1.0
0.000 3.406 3.406
3.406 0.000 3.406
3.406 3.406 0.000
Be K Zr
2 1 1
direct
0.250 0.250 0.250
0.750 0.750 0.750
0.000 0.000 0.000
0.500 0.500 0.500
```

***

Entry from Alexandria: a relaxed PmMgTlAu crystal (PBE-GGA).

Results
formation energy = -195 kJ/mol of formula units
symmetry = F-43m, No. 216

The structure in POSCAR format:
```
PmMgTlAu
1.0
-0.227 -2.621 4.399
2.192 -4.620 0.346
4.227 -0.625 2.831
Tl Au Mg Pm
1 1 1 1
direct
0.500 0.500 0.500
0.000 0.000 0.000
0.250 0.250 0.250
0.750 0.750 0.750
```

***

| no. | mass density (g/cm3) | magnetization (μB/atom) |
| --- | --- | --- |
| 1 | 4.2 | 0.00 |
| 2 | 4.5 | 0.00 |
| 3 | 8.3 | 0.00 |
| 4 | 6.2 | 0.00 |
| 5 | 7.1 | 0.00 |
| 6 | 9.7 | 0.12 |
| 7 | 6.0 | 0.00 |
| 8 | 12.1 | 0.19 |
| 9 | 5.8 | 0.70 |
| 10 | 7.0 | 0.00 |
| 11 | 7.9 | 0.00 |
| 12 | 9.6 | 0.10 |
| 13 | 5.4 | 0.61 |
| 14 | 11.3 | 1.64 |
| 15 | 7.5 | 0.00 |
| 16 | 13.3 | 0.00 |
| 17 | 10.3 | 0.29 |
| 18 | 16.5 | 0.00 |
| 19 | 6.8 | 0.00 |
| 20 | 8.0 | 0.00 |
| 21 | 6.4 | 0.34 |
| 22 | 9.6 | 0.09 |
| 23 | 3.1 | 0.00 |
| 24 | 10.0 | 0.00 |